## YTe2Br2 (PBE)

Data for crystalline YTe2Br2 at its relaxed geometry.

```
YTe2Br2
1.0
-0.029 -2.376 -3.234
-2.433 -2.561 1.904
-10.408 3.210 -4.754
Br Y Te
2 1 2
Direct
0.571 0.571 0.857
0.429 0.429 0.143
0.000 0.000 0.000
0.750 0.250 0.500
0.250 0.750 0.500
```

Computed properties:
Final energy = -3.859 eV per atom
Energy relative to the elements, uncorrected = -14.77 kcal/mol of atoms